(1)
KIn2GaI4 | PBE | relaxed

abc: 8.525 4.918 8.551
angles: 90.00 109.36 90.00
Fractional positions:
K 0.000 0.000 0.000
In 0.000 0.500 0.500
In 0.500 0.000 0.500
Ga 0.500 0.500 0.000
I 0.256 0.500 0.244
I 0.261 0.000 0.761
I 0.739 0.000 0.239
I 0.744 0.500 0.756

Computed properties:
E_form (uncorrected) ... -0.674 eV per atom
Spin magnetization ... 0.0 μB/cell
Energy ... -2.649 eV/atom

(2)
KInGa2I8 | PBE | relaxed

abc: 7.582 7.582 11.678
angles: 90.00 90.00 120.00
Fractional positions:
K 0.000 0.000 0.000
In 0.000 0.000 0.500
Ga 0.333 0.667 0.776
Ga 0.667 0.333 0.224
I 0.009 0.340 0.707
I 0.331 0.991 0.707
I 0.333 0.667 0.997
I 0.340 0.331 0.293
I 0.660 0.669 0.707
I 0.667 0.333 0.003
I 0.669 0.009 0.293
I 0.991 0.660 0.293

Computed properties:
E_form (uncorrected) ... -0.656 eV per atom
Spin magnetization ... 0.0 μB/cell
Energy ... -2.513 eV/atom

(3)
K2In3GaI6 | PBE | relaxed

abc: 11.106 11.106 9.945
angles: 102.72 102.72 25.77
Fractional positions:
K 0.165 0.165 0.328
K 0.835 0.835 0.672
In 0.168 0.168 0.834
In 0.500 0.500 0.500
In 0.832 0.832 0.166
Ga 0.500 0.500 0.000
I 0.002 0.002 0.762
I 0.335 0.335 0.419
I 0.341 0.341 0.925
I 0.659 0.659 0.075
I 0.665 0.665 0.581
I 0.998 0.998 0.238

Computed properties:
E_form (uncorrected) ... -0.769 eV per atom
Spin magnetization ... 0.0 μB/cell
Energy ... -2.664 eV/atom

(4)
La2InGaI | PBE | relaxed

abc: 5.939 5.939 5.814
angles: 90.00 90.00 90.00
Fractional positions:
La 0.000 0.500 0.000
La 0.500 0.000 0.000
In 0.000 0.000 0.500
Ga 0.500 0.500 0.500
I 0.000 0.000 0.000

Computed properties:
E_form (uncorrected) ... 0.217 eV per atom
Spin magnetization ... 0.0 μB/cell
Energy ... -3.217 eV/atom